This record from the Alexandria database describes an optimized crystal structure of NaPu3S6. The functional is PBE.

Cell lengths 7.425, 7.425, 7.425 Å; angles 55.73, 55.73, 55.73 degrees
Positions (direct):
Na  0.000  0.000  0.000
Pu  0.206  0.206  0.206
Pu  0.518  0.518  0.518
Pu  0.715  0.715  0.715
S  0.119  0.809  0.428
S  0.347  0.572  0.922
S  0.428  0.119  0.809
S  0.572  0.922  0.347
S  0.809  0.428  0.119
S  0.922  0.347  0.572

SG   No. 146
Excess energy over the best structure of this formula in the dataset   21 kJ/mol of formula units
Energy relative to the elements, uncorrected   -1.383 eV/atom
DOS(E_F)   2.3656 states/eV per atom
Crystal system   trigonal